# 1
# Y3ZnIr8

A relaxed structure of Y3ZnIr8 (GGA-PBE, Alexandria via LeMat-Bulk).

abc: 5.329 5.329 9.216
angles: 73.20 73.20 60.00
Sites, in units of the cell vectors:
Y (0.624, 0.624, 0.128)
Y (0.495, 0.495, 0.514)
Y (0.006, 0.006, 0.981)
Ir (0.562, 0.062, 0.813)
Ir (0.311, 0.311, 0.066)
Ir (0.561, 0.061, 0.317)
Ir (0.062, 0.562, 0.813)
Ir (0.061, 0.061, 0.317)
Ir (0.562, 0.562, 0.813)
Ir (0.061, 0.561, 0.317)
Ir (0.811, 0.811, 0.567)
Zn (0.132, 0.132, 0.603)

Calculated values
As for the energy relative to the elements: -569 meV per atom. Its space group is R3m (160). The total energy comes out at -98.4 eV per formula unit. Its size of the total moment is 0.000 μB/atom.


# 2
# YZnIr

A relaxed structure of YZnIr (GGA-PBE, Alexandria via LeMat-Bulk).

abc: 5.260 5.672 5.671
angles: 69.29 62.40 62.40
Sites, in units of the cell vectors:
Y (0.961, 0.768, 0.955)
Y (0.461, 0.268, 0.455)
Zn (0.711, 0.619, 0.604)
Zn (0.211, 0.917, 0.306)
Ir (0.461, 0.268, 0.955)
Ir (0.961, 0.268, 0.955)

Calculated values
As for the energy relative to the elements: -398 meV per atom. Its space group is Imma (74). The total energy comes out at -17.8 eV per formula unit. Its size of the total moment is 0.000 μB/atom.


# 3
# Y2Zn3Ir2

A relaxed structure of Y2Zn3Ir2 (GGA-PBE, Alexandria via LeMat-Bulk).

abc: 4.174 5.327 6.999
angles: 110.18 90.00 113.07
Sites, in units of the cell vectors:
Zn (0.364, 0.728, 0.557)
Zn (0.636, 0.272, 0.443)
Zn (0.500, 0.000, 0.000)
Ir (0.862, 0.724, 0.803)
Ir (0.138, 0.276, 0.197)
Y (0.149, 0.297, 0.774)
Y (0.851, 0.703, 0.226)

Calculated values
As for the energy relative to the elements: -590 meV per atom. Its space group is C2/m (12). The total energy comes out at -38.6 eV per formula unit. Its size of the total moment is 0.000 μB/atom.


# 4
# YZnIr

A relaxed structure of YZnIr (GGA-PBE, Alexandria via LeMat-Bulk).

abc: 5.348 5.348 5.348
angles: 144.75 139.96 54.39
Sites, in units of the cell vectors:
Y (0.341, 0.341, 0.000)
Zn (0.642, 0.642, 0.000)
Ir (0.017, 0.017, 0.000)

Calculated values
As for the energy relative to the elements: -470 meV per atom. Its space group is Imm2 (44). The total energy comes out at -18.0 eV per formula unit. Its size of the total moment is 0.000 μB/atom.


# 5
# YZnIr

A relaxed structure of YZnIr (GGA-PBE, Alexandria via LeMat-Bulk).

abc: 4.544 4.544 4.544
angles: 60.00 60.00 60.00
Sites, in units of the cell vectors:
Ir (0.750, 0.750, 0.750)
Zn (0.500, 0.500, 0.500)
Y (0.000, 0.000, 0.000)

Calculated values
As for the energy relative to the elements: -451 meV per atom. Its space group is F-43m (216). The total energy comes out at -18.0 eV per formula unit. Its size of the total moment is 0.000 μB/atom.


# 6
# Y3Zn3Ir

A relaxed structure of Y3Zn3Ir (GGA-PBE, Alexandria via LeMat-Bulk).

abc: 3.929 5.716 14.885
angles: 82.78 82.42 69.90
Sites, in units of the cell vectors:
Ir (0.221, 0.929, 0.629)
Ir (0.779, 0.071, 0.371)
Zn (0.157, 0.220, 0.467)
Zn (0.981, 0.812, 0.226)
Zn (0.899, 0.127, 0.075)
Zn (0.843, 0.780, 0.533)
Zn (0.019, 0.188, 0.774)
Zn (0.101, 0.873, 0.925)
Y (0.380, 0.317, 0.923)
Y (0.620, 0.683, 0.077)
Y (0.523, 0.339, 0.616)
Y (0.739, 0.762, 0.760)
Y (0.261, 0.238, 0.240)
Y (0.477, 0.661, 0.384)

Calculated values
As for the energy relative to the elements: -477 meV per atom. Its space group is C2/m (12). The total energy comes out at -35.4 eV per formula unit. Its size of the total moment is 0.000 μB/atom.


# 7
# Y5Zn4Ir

A relaxed structure of Y5Zn4Ir (GGA-PBE, Alexandria via LeMat-Bulk).

abc: 3.559 3.559 17.716
angles: 90.00 90.00 90.00
Sites, in units of the cell vectors:
Y (0.500, 0.500, 0.703)
Y (0.500, 0.500, 0.909)
Y (0.500, 0.500, 0.500)
Y (0.500, 0.500, 0.297)
Y (0.500, 0.500, 0.091)
Zn (0.000, 0.000, 0.398)
Zn (0.000, 0.000, 0.602)
Zn (0.000, 0.000, 0.802)
Zn (0.000, 0.000, 0.198)
Ir (0.000, 0.000, 0.000)

Calculated values
As for the energy relative to the elements: -462 meV per atom. Its space group is P4/mmm (123). The total energy comes out at -50.9 eV per formula unit. Its size of the total moment is 0.000 μB/atom.


# 8
# Y8Zn2Ir

A relaxed structure of Y8Zn2Ir (GGA-PBE, Alexandria via LeMat-Bulk).

abc: 5.127 6.753 9.186
angles: 104.47 106.20 90.00
Sites, in units of the cell vectors:
Zn (0.189, 0.731, 0.377)
Zn (0.811, 0.269, 0.623)
Y (0.589, 0.435, 0.178)
Y (0.028, 0.787, 0.057)
Y (0.411, 0.565, 0.822)
Y (0.202, 0.321, 0.405)
Y (0.341, 0.033, 0.682)
Y (0.659, 0.967, 0.318)
Y (0.972, 0.213, 0.943)
Y (0.798, 0.679, 0.595)
Ir (0.500, 0.000, 0.000)

Calculated values
As for the energy relative to the elements: -296 meV per atom. Its space group is C2/m (12). The total energy comes out at -66.4 eV per formula unit. Its size of the total moment is 0.000 μB/atom. As for the distance to the lowest polymorph of the same formula: 0.0000 eV/atom.


# 9
# YZnIr3

A relaxed structure of YZnIr3 (GGA-PBE, Alexandria via LeMat-Bulk).

abc: 4.970 4.970 4.970
angles: 90.00 90.00 90.00
Sites, in units of the cell vectors:
Zn (0.500, 0.500, 0.500)
Ir (0.500, 0.000, 0.000)
Ir (0.000, 0.500, 0.000)
Ir (0.000, 0.000, 0.500)
Y (0.000, 0.000, 0.000)

Calculated values
As for the energy relative to the elements: 1974 meV per atom. Its space group is Pm-3m (221). The total energy comes out at -24.4 eV per formula unit. Its size of the total moment is 0.308 μB/atom. As for the distance to the lowest polymorph of the same formula: 1.5068 eV/atom.


# 10
# YZnIr3

A relaxed structure of YZnIr3 (GGA-PBE, Alexandria via LeMat-Bulk).

abc: 4.576 4.576 4.576
angles: 90.00 90.00 90.00
Sites, in units of the cell vectors:
Ir (0.000, 0.000, 0.500)
Ir (0.000, 0.500, 0.000)
Ir (0.500, 0.000, 0.000)
Y (0.500, 0.500, 0.500)
Zn (0.000, 0.000, 0.000)

Calculated values
As for the energy relative to the elements: 468 meV per atom. Its space group is Pm-3m (221). The total energy comes out at -32.0 eV per formula unit. Its size of the total moment is 0.000 μB/atom. As for the distance to the lowest polymorph of the same formula: 0.0000 eV/atom.


# 11
# Y2Zn15Ir2

A relaxed structure of Y2Zn15Ir2 (GGA-PBE, Alexandria via LeMat-Bulk).

abc: 6.772 6.772 6.772
angles: 82.99 82.99 82.99
Sites, in units of the cell vectors:
Zn (0.717, 0.000, 0.283)
Zn (0.000, 0.500, 0.000)
Zn (0.000, 0.717, 0.283)
Zn (0.648, 0.151, 0.648)
Zn (0.849, 0.352, 0.352)
Zn (0.717, 0.283, 0.000)
Zn (0.352, 0.849, 0.352)
Zn (0.151, 0.648, 0.648)
Zn (0.283, 0.000, 0.717)
Zn (0.283, 0.717, 0.000)
Zn (0.500, 0.000, 0.000)
Zn (0.352, 0.352, 0.849)
Zn (0.000, 0.283, 0.717)
Zn (0.648, 0.648, 0.151)
Zn (0.000, 0.000, 0.500)
Ir (0.891, 0.891, 0.891)
Ir (0.109, 0.109, 0.109)
Y (0.669, 0.669, 0.669)
Y (0.331, 0.331, 0.331)

Calculated values
As for the energy relative to the elements: -258 meV per atom. Its space group is R-3m (166). The total energy comes out at -54.7 eV per formula unit. Its size of the total moment is 0.000 μB/atom.


# 12
# Y2ZnIr2

A relaxed structure of Y2ZnIr2 (GGA-PBE, Alexandria via LeMat-Bulk).

abc: 7.092 7.092 4.104
angles: 90.00 90.00 90.00
Sites, in units of the cell vectors:
Y (0.327, 0.173, 0.500)
Y (0.673, 0.827, 0.500)
Y (0.173, 0.673, 0.500)
Y (0.827, 0.327, 0.500)
Zn (0.500, 0.500, 0.000)
Zn (0.000, 0.000, 0.000)
Ir (0.367, 0.867, 0.000)
Ir (0.867, 0.633, 0.000)
Ir (0.633, 0.133, 0.000)
Ir (0.133, 0.367, 0.000)

Calculated values
As for the energy relative to the elements: -598 meV per atom. Its space group is P4/mbm (127). The total energy comes out at -34.9 eV per formula unit. Its size of the total moment is 0.000 μB/atom.